DFT (PBE) results for a relaxed CsDyCdTe3 crystal.

Output
Calculated total energy ... -22.27 eV per formula unit
Theoretical density ... 5.4 g/cm3
ΔE_f (raw) ... -1079 meV per atom
V ... 484.06 Å³/cell
Magnetization ... 0.00 μB/cell

Structure (POSCAR):
```
CsDyCdTe3
1.0
-3.3530 -2.7672 -1.3659
4.8112 -7.9062 4.2072
-6.9802 4.8529 7.3034
Te Cs Cd Dy
6 2 2 2
Cartesian
0.8270 -8.4168 3.6199
-4.2014 -0.7536 8.0399
-1.3206 -5.0669 2.1049
-0.2315 -4.6577 6.2041
-5.2905 -1.1628 3.9407
-6.3490 2.5963 6.5249
-4.0134 -4.5918 7.7528
-1.5086 -1.2288 2.3920
-0.8138 -7.4443 5.6775
-4.7082 1.6238 4.4673
1.4537 -5.3426 3.4546
-6.9758 -0.4779 6.6902
```